# Tm2ZrC2, relaxed, DFT GGA-PBE
data_Tm2ZrC2
_space_group_name_H-M_alt 'R -3 m'
_space_group_IT_number 166
_space_group_name_Hall '-R 3 2"'
_cell_length_a 3.4401
_cell_length_b 3.4401
_cell_length_c 26.6339
_cell_angle_alpha 90.00
_cell_angle_beta 90.00
_cell_angle_gamma 120.00
loop_
_atom_site_label
_atom_site_fract_x
_atom_site_fract_y
_atom_site_fract_z
Tm1 0.0000 0.0000 0.2331
Zr1 0.0000 0.0000 0.0000
C1 0.0000 0.0000 0.3854
# **Calculated formation energy**: -520 meV/atom
# **Crystal system**: trigonal
# **Total moment**: 0.0 μB per formula unit
# **Total energy**: -7.7080 eV/atom
# **DOS at the Fermi energy**: 0.20 states/eV/atom